This record from the Alexandria database describes a geometry-optimized SnBiPb2 structure. The functional is PBE.

Lattice parameters (Å, degrees): 3.4065 3.4065 37.8408 90.00 90.00 120.00
Space group R-3m (No. 166, hexagonal axes)
One atom of each set of equivalent atoms:
Sn  0.0000  0.0000  0.0000 (multiplicity 3)
Bi  0.0000  0.0000  0.5000 (multiplicity 3)
Pb  0.0000  0.0000  0.0856 (multiplicity 6)

calculated formation energy: 11.8 kJ per mole of atoms
relative energy among the computed polymorphs: 0.0817 eV per atom
total magnetization: 0.0 Bohr magnetons per cell
crystal system: trigonal

---

This record from the Alexandria database describes a geometry-optimized SnBiPb4 structure. The functional is PBE.

Lattice parameters (Å, degrees): 3.7329 4.3631 11.4252 90.00 90.00 90.00
Space group Pmmm (No. 47)
One atom of each set of equivalent atoms:
Sn  0.0000  0.0000  0.0000 (multiplicity 1)
Bi  0.5000  0.5000  0.5000 (multiplicity 1)
Pb  0.0000  0.0000  0.3334 (multiplicity 2)
Pb  0.5000  0.5000  0.1553 (multiplicity 2)

calculated formation energy: 4.0 kJ per mole of atoms
relative energy among the computed polymorphs: 0.0000 eV per atom
total magnetization: 0.0 Bohr magnetons per cell
crystal system: orthorhombic

---

This record from the Alexandria database describes a geometry-optimized Sn4BiPb7 structure. The functional is PBE.

Lattice parameters (Å, degrees): 13.4372 6.4045 10.0609 90.00 119.34 90.00
Space group C2/m (No. 12)
One atom of each set of equivalent atoms:
Sn  0.0033  0.0000  0.3389 (multiplicity 4)
Sn  0.2463  0.0000  0.3340 (multiplicity 4)
Bi  0.0000  0.5000  0.0000 (multiplicity 2)
Pb  0.0000  0.0000  0.0000 (multiplicity 2)
Pb  0.9998  0.5000  0.3351 (multiplicity 4)
Pb  0.2460  0.0000  0.6624 (multiplicity 4)
Pb  0.2487  0.0000  0.0010 (multiplicity 4)

calculated formation energy: 8.0 kJ per mole of atoms
total magnetization: 0.0 Bohr magnetons per cell
crystal system: monoclinic

---

This record from the Alexandria database describes a geometry-optimized Sn3Bi2Pb8 structure. The functional is PBE.

Lattice parameters (Å, degrees): 11.8270 6.7110 10.5749 90.00 98.69 90.00
Space group C2/m (No. 12)
One atom of each set of equivalent atoms:
Sn  0.0000  0.0000  0.0000 (multiplicity 2)
Sn  0.0000  0.2552  0.5000 (multiplicity 4)
Bi  0.1235  0.5000  0.1080 (multiplicity 4)
Pb  0.1271  0.0000  0.2872 (multiplicity 4)
Pb  0.1339  0.2594  0.8083 (multiplicity 8)
Pb  0.2224  0.5000  0.4182 (multiplicity 4)

calculated formation energy: 8.0 kJ per mole of atoms
relative energy among the computed polymorphs: 0.0062 eV per atom
total magnetization: 0.0 Bohr magnetons per cell
crystal system: monoclinic